# Tm8Te3P3Se PBE relaxed
# - Total moment: 0.00 μB/f.u.
# - Formation energy from raw total energies: -1.380 eV per atom
data_Tm8Te3P3Se
_cell_length_a 8.0656
_cell_length_b 8.0656
_cell_length_c 20.5139
_cell_angle_alpha 90.00
_cell_angle_beta 90.00
_cell_angle_gamma 120.00
_symmetry_space_group_name_H-M 'R -3 m'
_symmetry_Int_Tables_number 166
_symmetry_space_group_name_Hall '-R 3 2"'
loop_
_atom_site_label
_atom_site_type_symbol
_atom_site_fract_x
_atom_site_fract_y
_atom_site_fract_z
Tm1 Tm 0.0000 0.0000 0.2352
Tm2 Tm 0.0191 0.5095 0.7597
Te1 Te 0.0000 0.5000 0.0000
P1 P 0.0000 0.5000 0.5000
Se1 Se 0.0000 0.0000 0.5000

***

# Tm8Te3PSe3 PBE relaxed
# - Total moment: 0.00 μB/f.u.
# - Formation energy from raw total energies: -1.337 eV per atom
data_Tm8Te3PSe3
_cell_length_a 8.1671
_cell_length_b 8.1671
_cell_length_c 20.6239
_cell_angle_alpha 90.00
_cell_angle_beta 90.00
_cell_angle_gamma 120.00
_symmetry_space_group_name_H-M 'R -3 m'
_symmetry_Int_Tables_number 166
_symmetry_space_group_name_Hall '-R 3 2"'
loop_
_atom_site_label
_atom_site_type_symbol
_atom_site_fract_x
_atom_site_fract_y
_atom_site_fract_z
Tm1 Tm 0.0000 0.0000 0.2378
Tm2 Tm 0.0140 0.5070 0.2380
Te1 Te 0.0000 0.5000 0.0000
P1 P 0.0000 0.0000 0.5000
Se1 Se 0.0000 0.5000 0.5000

***

# Tm6TeP2Se3 PBE relaxed
# - Total moment: 0.00 μB/f.u.
# - Formation energy from raw total energies: -1.630 eV per atom
data_Tm6TeP2Se3
_cell_length_a 17.650
_cell_length_b 4.025
_cell_length_c 8.151
_cell_angle_alpha 90.00
_cell_angle_beta 102.95
_cell_angle_gamma 90.00
_symmetry_space_group_name_H-M 'C 1 2/m 1'
_symmetry_Int_Tables_number 12
_symmetry_space_group_name_Hall '-C 2y'
loop_
_atom_site_label
_atom_site_type_symbol
_atom_site_fract_x
_atom_site_fract_y
_atom_site_fract_z
Tm1 Tm 0.013 0.000 0.276
Tm2 Tm 0.173 0.500 0.572
Tm3 Tm 0.176 0.500 0.116
Te1 Te 0.000 0.500 0.000
P1 P 0.169 0.000 0.338
Se1 Se 0.000 0.500 0.500
Se2 Se 0.161 0.000 0.836

***

# Tm8Te4P3Se PBE relaxed
# - Total moment: 0.00 μB/f.u.
# - Formation energy from raw total energies: -1.499 eV per atom
data_Tm8Te4P3Se
_cell_length_a 8.1485
_cell_length_b 8.1485
_cell_length_c 20.8904
_cell_angle_alpha 90.00
_cell_angle_beta 90.00
_cell_angle_gamma 120.00
_symmetry_space_group_name_H-M 'R -3 m'
_symmetry_Int_Tables_number 166
_symmetry_space_group_name_Hall '-R 3 2"'
loop_
_atom_site_label
_atom_site_type_symbol
_atom_site_fract_x
_atom_site_fract_y
_atom_site_fract_z
Tm1 Tm 0.0000 0.0000 0.2356
Tm2 Tm 0.0118 0.5059 0.7636
Te1 Te 0.0000 0.0000 0.0000
Te2 Te 0.0000 0.5000 0.0000
P1 P 0.0000 0.5000 0.5000
Se1 Se 0.0000 0.0000 0.5000

***

# Tm6Te3P2Se PBE relaxed
# - Total moment: 0.00 μB/f.u.
# - Formation energy from raw total energies: -1.497 eV per atom
data_Tm6Te3P2Se
_cell_length_a 18.223
_cell_length_b 4.081
_cell_length_c 8.393
_cell_angle_alpha 90.00
_cell_angle_beta 105.33
_cell_angle_gamma 90.00
_symmetry_space_group_name_H-M 'C 1 2/m 1'
_symmetry_Int_Tables_number 12
_symmetry_space_group_name_Hall '-C 2y'
loop_
_atom_site_label
_atom_site_type_symbol
_atom_site_fract_x
_atom_site_fract_y
_atom_site_fract_z
Tm1 Tm 0.015 0.000 0.242
Tm2 Tm 0.166 0.500 0.119
Tm3 Tm 0.177 0.500 0.560
Te1 Te 0.000 0.500 0.500
Te2 Te 0.162 0.000 0.834
P1 P 0.168 0.000 0.335
Se1 Se 0.000 0.500 0.000

***

# TeP2WSe PBE relaxed
# - Total moment: 2.26 μB/f.u.
# - Formation energy from raw total energies: 1.670 eV per atom
data_TeP2WSe
_cell_length_a 4.700
_cell_length_b 4.700
_cell_length_c 5.158
_cell_angle_alpha 90.00
_cell_angle_beta 90.00
_cell_angle_gamma 90.00
_symmetry_space_group_name_H-M 'P 4/m m m'
_symmetry_Int_Tables_number 123
_symmetry_space_group_name_Hall '-P 4 2'
loop_
_atom_site_label
_atom_site_type_symbol
_atom_site_fract_x
_atom_site_fract_y
_atom_site_fract_z
Te1 Te 0.000 0.000 0.000
P1 P 0.000 0.500 0.500
W1 W 0.500 0.500 0.000
Se1 Se 0.000 0.000 0.500